No. 1
CoAs4Se after structural relaxation. Source: the Alexandria database, functional GGA-PBE.

```
6
Lattice="0.000 3.890 3.890 3.890 0.000 3.890 3.890 3.890 0.000" Properties=species:S:1:pos:R:3 pbc="T T T"
Co 0.000 0.000 0.000
As 2.920 2.920 2.920
As 4.860 4.860 2.920
As 4.860 2.920 4.860
As 2.920 4.860 4.860
Se 5.835 5.835 5.835
```

## Properties
DOS(E_F)	1.4360	states/eV per atom
crystal system	cubic
symmetry	F-43m (216)
energy relative to the elements, uncorrected	0.784	eV per atom

---

No. 2
CoAsSe2 after structural relaxation. Source: the Alexandria database, functional GGA-PBE.

```
12
Lattice="3.295 0.000 0.000 -1.647 2.853 0.000 0.000 0.000 23.462" Properties=species:S:1:pos:R:3 pbc="T T T"
Co 0.000 0.000 0.000
Co 0.000 1.902 15.642
Co 1.647 0.951 7.821
As 0.000 0.000 11.731
As 0.000 1.902 3.910
As 1.647 0.951 19.552
Se 0.000 0.000 6.405
Se 0.000 0.000 17.057
Se 0.000 1.902 9.236
Se 0.000 1.902 22.047
Se 1.647 0.951 1.416
Se 1.647 0.951 14.226
```

## Properties
DOS(E_F)	0.8737	states/eV per atom
crystal system	trigonal
symmetry	R-3m (166)
energy relative to the elements, uncorrected	0.079	eV per atom

---

No. 3
CoAsSe2 after structural relaxation. Source: the Alexandria database, functional GGA-PBE.

```
8
Lattice="3.544 0.000 0.000 0.000 4.737 0.000 0.000 0.000 8.634" Properties=species:S:1:pos:R:3 pbc="T T T"
Co 0.000 0.000 0.000
Co 0.000 2.369 4.317
As 1.772 0.000 7.057
As 1.772 2.369 2.741
Se 0.000 0.000 4.536
Se 0.000 2.369 0.219
Se 1.772 0.000 1.615
Se 1.772 2.369 5.932
```

## Properties
DOS(E_F)	0.6934	states/eV per atom
crystal system	orthorhombic
symmetry	Amm2 (38)
energy relative to the elements, uncorrected	-0.068	eV per atom

---

No. 4
CoAsSe2 after structural relaxation. Source: the Alexandria database, functional GGA-PBE.

```
4
Lattice="2.831 0.000 0.000 0.000 2.831 0.000 0.000 0.000 9.619" Properties=species:S:1:pos:R:3 pbc="T T T"
Co 0.000 0.000 0.000
As 0.000 0.000 4.809
Se 1.416 1.416 1.570
Se 1.416 1.416 8.048
```

## Properties
DOS(E_F)	0.7714	states/eV per atom
crystal system	tetragonal
symmetry	P4/mmm (123)
energy relative to the elements, uncorrected	0.293	eV per atom

---

No. 5
Co4AsSe after structural relaxation. Source: the Alexandria database, functional GGA-PBE.

```
6
Lattice="0.000 3.446 3.446 3.446 0.000 3.446 3.446 3.446 0.000" Properties=species:S:1:pos:R:3 pbc="T T T"
Co 0.864 0.864 0.864
Co 2.582 2.582 0.864
Co 2.582 0.864 2.582
Co 0.864 2.582 2.582
As 3.446 3.446 3.446
Se 5.169 5.169 5.169
```

## Properties
DOS(E_F)	1.4678	states/eV per atom
crystal system	cubic
symmetry	F-43m (216)
energy relative to the elements, uncorrected	0.431	eV per atom

---

No. 6
CoAsSe3 after structural relaxation. Source: the Alexandria database, functional GGA-PBE.

```
5
Lattice="4.662 0.000 0.000 0.000 4.662 0.000 0.000 0.000 4.662" Properties=species:S:1:pos:R:3 pbc="T T T"
Co 0.000 0.000 0.000
As 2.331 2.331 2.331
Se 0.000 0.000 2.331
Se 0.000 2.331 0.000
Se 2.331 0.000 0.000
```

## Properties
DOS(E_F)	1.2081	states/eV per atom
crystal system	cubic
ΔE to the lowest computed polymorph	0	meV/atom
symmetry	Pm-3m (221)
energy relative to the elements, uncorrected	0.460	eV per atom

---

No. 7
CoAsSe2 after structural relaxation. Source: the Alexandria database, functional GGA-PBE.

```
8
Lattice="5.023 0.000 0.000 0.000 8.189 0.000 0.000 0.000 3.426" Properties=species:S:1:pos:R:3 pbc="T T T"
Co 0.000 0.000 0.000
Co 2.512 4.094 0.000
As 0.000 4.094 0.000
As 2.512 0.000 0.000
Se 0.000 1.639 1.713
Se 0.000 6.550 1.713
Se 2.512 2.456 1.713
Se 2.512 5.733 1.713
```

## Properties
DOS(E_F)	0.5498	states/eV per atom
crystal system	orthorhombic
symmetry	Cmmm (65)
energy relative to the elements, uncorrected	0.022	eV per atom

---

No. 8
CoAsSe3 after structural relaxation. Source: the Alexandria database, functional GGA-PBE.

```
5
Lattice="4.996 0.000 0.000 0.000 4.996 0.000 0.000 0.000 4.996" Properties=species:S:1:pos:R:3 pbc="T T T"
Co 0.000 0.000 0.000
As 2.498 2.498 2.498
Se 0.000 2.498 2.498
Se 2.498 0.000 2.498
Se 2.498 2.498 0.000
```

## Properties
DOS(E_F)	1.9299	states/eV per atom
crystal system	cubic
ΔE to the lowest computed polymorph	498	meV/atom
symmetry	Pm-3m (221)
energy relative to the elements, uncorrected	0.959	eV per atom